Si3As2Pd2 | PBE | relaxed

Lattice parameters (Å, degrees): 8.362 8.362 8.362 29.26 29.26 29.26
Sites, in units of the cell vectors:
1 Si 0.660 0.660 0.660
2 Pd 0.475 0.475 0.475
3 Si 0.901 0.901 0.901
4 Pd 0.000 0.000 0.000
5 Si 0.373 0.373 0.373
6 As 0.771 0.771 0.771
7 As 0.196 0.196 0.196

Calculated values
E, eV/atom: -5.130